First-principles (PBE) data for Ac8CoPd2 after structural relaxation, as listed in Alexandria.

Unit cell a=10.276 b=10.276 c=9.632 alpha=93.58 beta=93.58 gamma=23.37
Sites, in units of the cell vectors:
Ac1 0.011 0.011 0.199
Ac2 0.224 0.224 0.330
Ac3 0.351 0.351 0.025
Ac4 0.405 0.405 0.465
Ac5 0.595 0.595 0.535
Ac6 0.649 0.649 0.975
Ac7 0.776 0.776 0.670
Ac8 0.989 0.989 0.801
Co1 0.500 0.500 0.000
Pd1 0.165 0.165 0.736
Pd2 0.835 0.835 0.264

Values from the calculation:
Its crystal system is monoclinic. For the formation energy, the calculation gives -29.1 kJ/mol of atoms. Its volume is 36.60 A^3/atom. The final energy comes out at -4.879 eV per atom.